1.
{"formula": "BaIn2Rh", "functional": "PBE", "state": "relaxed", "crystal_system": "trigonal", "space_group": "R3m, No. 160", "lattice": [[4.725, 0.000, 0.000], [-2.363, 4.092, 0.000], [0.000, 0.000, 18.032]], "species": ["Ba", "Ba", "Ba", "In", "In", "In", "In", "In", "In", "Rh", "Rh", "Rh"], "fractional_positions": [[0.000, 0.000, 0.000], [0.333, 0.667, 0.667], [0.667, 0.333, 0.333], [0.000, 0.000, 0.537], [0.000, 0.000, 0.797], [0.333, 0.667, 0.204], [0.333, 0.667, 0.464], [0.667, 0.333, 0.131], [0.667, 0.333, 0.870], [0.000, 0.000, 0.181], [0.333, 0.667, 0.847], [0.667, 0.333, 0.514]]}

2.
{"formula": "Ba2InRh", "functional": "PBE", "state": "relaxed", "crystal_system": "cubic", "space_group": "F-43m, No. 216", "lattice": [[7.743, 0.000, 0.000], [0.000, 7.743, 0.000], [0.000, 0.000, 7.743]], "species": ["Ba", "Ba", "Ba", "Ba", "Ba", "Ba", "Ba", "Ba", "In", "In", "In", "In", "Rh", "Rh", "Rh", "Rh"], "fractional_positions": [[0.000, 0.000, 0.000], [0.000, 0.500, 0.500], [0.250, 0.250, 0.250], [0.250, 0.750, 0.750], [0.500, 0.000, 0.500], [0.500, 0.500, 0.000], [0.750, 0.250, 0.750], [0.750, 0.750, 0.250], [0.000, 0.000, 0.500], [0.000, 0.500, 0.000], [0.500, 0.000, 0.000], [0.500, 0.500, 0.500], [0.250, 0.250, 0.750], [0.250, 0.750, 0.250], [0.750, 0.250, 0.250], [0.750, 0.750, 0.750]]}

3.
{"formula": "Ba6In2Rh", "functional": "PBE", "state": "relaxed", "crystal_system": "monoclinic", "space_group": "P2_1/c, No. 14", "lattice": [[8.100, 0.000, 0.000], [0.000, 9.224, 0.000], [-7.890, 0.000, 11.465]], "species": ["Ba", "Ba", "Ba", "Ba", "Ba", "Ba", "Ba", "Ba", "Ba", "Ba", "Ba", "Ba", "In", "In", "In", "In", "Rh", "Rh"], "fractional_positions": [[0.131, 0.165, 0.446], [0.131, 0.335, 0.946], [0.282, 0.702, 0.443], [0.282, 0.798, 0.943], [0.356, 0.025, 0.247], [0.356, 0.475, 0.747], [0.644, 0.525, 0.253], [0.644, 0.975, 0.753], [0.718, 0.202, 0.057], [0.718, 0.298, 0.557], [0.869, 0.665, 0.054], [0.869, 0.835, 0.554], [0.219, 0.106, 0.754], [0.219, 0.394, 0.254], [0.781, 0.606, 0.746], [0.781, 0.894, 0.246], [0.500, 0.000, 0.500], [0.500, 0.500, 0.000]]}

4.
{"formula": "Ba3In4Rh2", "functional": "PBE", "state": "relaxed", "crystal_system": "monoclinic", "space_group": "C2/m, No. 12", "lattice": [[6.029, -2.508, 0.000], [6.029, 2.508, 0.000], [-1.082, 0.000, 9.023]], "species": ["Ba", "Ba", "Ba", "In", "In", "In", "In", "Rh", "Rh"], "fractional_positions": [[0.000, 0.000, 0.000], [0.394, 0.394, 0.306], [0.606, 0.606, 0.694], [0.117, 0.117, 0.405], [0.290, 0.290, 0.905], [0.710, 0.710, 0.095], [0.883, 0.883, 0.595], [0.298, 0.298, 0.613], [0.702, 0.702, 0.387]]}

5.
{"formula": "Ba2In2Rh", "functional": "PBE", "state": "relaxed", "crystal_system": "tetragonal", "space_group": "P4/mbm, No. 127", "e_above_lowest_polymorph_mev_per_atom": 248.4, "lattice": [[7.402, 0.000, 0.000], [0.000, 7.402, 0.000], [0.000, 0.000, 5.687]], "species": ["Ba", "Ba", "Ba", "Ba", "In", "In", "In", "In", "Rh", "Rh"], "fractional_positions": [[0.176, 0.324, 0.000], [0.324, 0.824, 0.000], [0.676, 0.176, 0.000], [0.824, 0.676, 0.000], [0.148, 0.648, 0.500], [0.352, 0.148, 0.500], [0.648, 0.852, 0.500], [0.852, 0.352, 0.500], [0.000, 0.000, 0.500], [0.500, 0.500, 0.500]]}

6.
{"formula": "BaIn2Rh", "functional": "PBE", "state": "relaxed", "crystal_system": "trigonal", "space_group": "R-3m, No. 166", "lattice": [[4.607, 0.000, 0.000], [-2.304, 3.990, 0.000], [0.000, 0.000, 18.878]], "species": ["Ba", "Ba", "Ba", "In", "In", "In", "In", "In", "In", "Rh", "Rh", "Rh"], "fractional_positions": [[0.000, 0.000, 0.000], [0.333, 0.667, 0.667], [0.667, 0.333, 0.333], [0.000, 0.000, 0.207], [0.000, 0.000, 0.793], [0.333, 0.667, 0.460], [0.333, 0.667, 0.874], [0.667, 0.333, 0.126], [0.667, 0.333, 0.540], [0.000, 0.000, 0.500], [0.333, 0.667, 0.167], [0.667, 0.333, 0.833]]}

7.
{"formula": "BaIn2Rh", "functional": "PBE", "state": "relaxed", "crystal_system": "orthorhombic", "space_group": "Pnma, No. 62", "lattice": [[16.932, 0.000, 0.000], [0.000, 7.937, 0.000], [0.000, 0.000, 6.297]], "species": ["Ba", "Ba", "Ba", "Ba", "Ba", "Ba", "Ba", "Ba", "In", "In", "In", "In", "In", "In", "In", "In", "In", "In", "In", "In", "In", "In", "In", "In", "Rh", "Rh", "Rh", "Rh", "Rh", "Rh", "Rh", "Rh"], "fractional_positions": [[0.101, 0.250, 0.217], [0.134, 0.750, 0.038], [0.366, 0.250, 0.538], [0.399, 0.750, 0.717], [0.601, 0.250, 0.283], [0.634, 0.750, 0.462], [0.866, 0.250, 0.962], [0.899, 0.750, 0.783], [0.046, 0.060, 0.709], [0.046, 0.440, 0.709], [0.210, 0.552, 0.536], [0.210, 0.948, 0.536], [0.290, 0.052, 0.036], [0.290, 0.448, 0.036], [0.454, 0.560, 0.209], [0.454, 0.940, 0.209], [0.546, 0.060, 0.791], [0.546, 0.440, 0.791], [0.710, 0.552, 0.964], [0.710, 0.948, 0.964], [0.790, 0.052, 0.464], [0.790, 0.448, 0.464], [0.954, 0.560, 0.291], [0.954, 0.940, 0.291], [0.072, 0.750, 0.507], [0.190, 0.250, 0.772], [0.310, 0.750, 0.272], [0.428, 0.250, 0.007], [0.572, 0.750, 0.993], [0.690, 0.250, 0.728], [0.810, 0.750, 0.228], [0.928, 0.250, 0.493]]}

8.
{"formula": "BaIn2Rh", "functional": "PBE", "state": "relaxed", "crystal_system": "orthorhombic", "space_group": "Immm, No. 71", "lattice": [[3.499, 0.000, 0.000], [0.000, 5.706, 0.000], [0.000, 0.000, 10.872]], "species": ["Ba", "Ba", "In", "In", "In", "In", "Rh", "Rh"], "fractional_positions": [[0.000, 0.000, 0.000], [0.500, 0.500, 0.500], [0.000, 0.500, 0.198], [0.000, 0.500, 0.802], [0.500, 0.000, 0.302], [0.500, 0.000, 0.698], [0.000, 0.000, 0.500], [0.500, 0.500, 0.000]]}

9.
{"formula": "BaIn2Rh", "functional": "PBE", "state": "relaxed", "crystal_system": "tetragonal", "space_group": "P4/mmm, No. 123", "lattice": [[3.496, 0.000, 0.000], [0.000, 3.496, 0.000], [0.000, 0.000, 8.246]], "species": ["Ba", "In", "In", "Rh"], "fractional_positions": [[0.000, 0.000, 0.000], [0.500, 0.500, 0.321], [0.500, 0.500, 0.679], [0.000, 0.000, 0.500]]}

10.
{"formula": "BaIn2Rh", "functional": "PBE", "state": "relaxed", "crystal_system": "tetragonal", "space_group": "P4/mmm, No. 123", "lattice": [[4.448, 0.000, 0.000], [0.000, 4.448, 0.000], [0.000, 0.000, 5.397]], "species": ["Ba", "In", "In", "Rh"], "fractional_positions": [[0.000, 0.000, 0.000], [0.000, 0.500, 0.500], [0.500, 0.000, 0.500], [0.500, 0.500, 0.000]]}

11.
{"formula": "Ba3InRh2", "functional": "PBE", "state": "relaxed", "crystal_system": "monoclinic", "space_group": "P2_1/c, No. 14", "lattice": [[9.652, 0.000, 0.000], [0.000, 8.625, 0.000], [-8.643, 0.000, 9.954]], "species": ["Ba", "Ba", "Ba", "Ba", "Ba", "Ba", "Ba", "Ba", "Ba", "Ba", "Ba", "Ba", "In", "In", "In", "In", "Rh", "Rh", "Rh", "Rh", "Rh", "Rh", "Rh", "Rh"], "fractional_positions": [[0.198, 0.161, 0.051], [0.198, 0.339, 0.551], [0.239, 0.011, 0.774], [0.239, 0.489, 0.274], [0.255, 0.536, 0.854], [0.255, 0.964, 0.354], [0.745, 0.036, 0.646], [0.745, 0.464, 0.146], [0.761, 0.511, 0.726], [0.761, 0.989, 0.226], [0.802, 0.661, 0.449], [0.802, 0.839, 0.949], [0.337, 0.742, 0.614], [0.337, 0.758, 0.114], [0.663, 0.242, 0.886], [0.663, 0.258, 0.386], [0.043, 0.688, 0.355], [0.043, 0.812, 0.855], [0.459, 0.037, 0.682], [0.459, 0.463, 0.182], [0.541, 0.537, 0.818], [0.541, 0.963, 0.318], [0.957, 0.188, 0.145], [0.957, 0.312, 0.645]]}

12.
{"formula": "BaIn2Rh", "functional": "PBE", "state": "relaxed", "crystal_system": "monoclinic", "space_group": "P2_1/m, No. 11", "lattice": [[4.502, 0.000, 0.000], [0.000, 8.136, 0.000], [-2.247, 0.000, 5.851]], "species": ["Ba", "Ba", "In", "In", "In", "In", "Rh", "Rh"], "fractional_positions": [[0.053, 0.250, 0.103], [0.947, 0.750, 0.897], [0.334, 0.055, 0.669], [0.334, 0.445, 0.669], [0.666, 0.555, 0.331], [0.666, 0.945, 0.331], [0.219, 0.750, 0.437], [0.781, 0.250, 0.563]]}

One value per record, in order, for E_tot: -4.08, -3.48, -2.95, -3.89, -3.49, -4.05, -4.13, -3.90, -3.98, -3.68, -4.12, -4.16 eV/atom.